No. 1
! Li3CuAg2 PBE optimized geometry; values from VASP
&SYSTEM
  ibrav = 0, nat = 12, ntyp = 3
/
ATOMIC_SPECIES
Li 6.94 Li.upf
Ag 107.87 Ag.upf
Cu 63.55 Cu.upf
ATOMIC_POSITIONS crystal
Li 0.666 0.666 0.830
Ag 0.251 0.749 0.000
Cu 0.663 0.663 0.325
Li 0.836 0.836 0.170
Li 0.174 0.174 0.348
Ag 0.250 0.750 0.500
Ag 0.750 0.250 0.500
Ag 0.749 0.251 0.000
Li 0.826 0.826 0.652
Li 0.334 0.334 0.170
Li 0.164 0.164 0.830
Cu 0.337 0.337 0.675
CELL_PARAMETERS angstrom
4.877 1.550 0.000
0.573 5.085 0.000
-2.725 -3.318 7.727
! Energy relative to the elements in eV/atom: -0.1025
! Space group: Fmmm (69)
! Total magnetization in μB/atom: 0.000

=====

No. 2
! Li9Cu4Ag PBE optimized geometry; values from VASP
&SYSTEM
  ibrav = 0, nat = 28, ntyp = 3
/
ATOMIC_SPECIES
Cu 63.55 Cu.upf
Ag 107.87 Ag.upf
Li 6.94 Li.upf
ATOMIC_POSITIONS crystal
Cu 0.750 0.895 0.105
Ag 0.250 0.667 0.333
Li 0.555 0.187 0.374
Li 0.945 0.626 0.813
Li 0.945 0.187 0.813
Cu 0.250 0.789 0.895
Li 0.750 0.540 0.460
Li 0.445 0.813 0.626
Li 0.250 0.460 0.919
Cu 0.250 0.105 0.895
Li 0.250 0.460 0.540
Cu 0.250 0.105 0.211
Li 0.055 0.374 0.187
Li 0.750 0.540 0.081
Li 0.445 0.813 0.187
Li 0.445 0.374 0.187
Li 0.555 0.187 0.813
Li 0.250 0.081 0.540
Cu 0.750 0.895 0.789
Li 0.555 0.626 0.813
Cu 0.750 0.211 0.105
Li 0.945 0.187 0.374
Li 0.055 0.813 0.626
Cu 0.500 0.000 0.000
Li 0.750 0.919 0.460
Ag 0.750 0.333 0.667
Li 0.055 0.813 0.187
Cu 0.000 0.000 0.000
CELL_PARAMETERS angstrom
7.900 0.000 0.000
0.000 7.106 -4.103
0.000 0.000 8.205
! Energy relative to the elements in eV/atom: -0.0509
! Space group: P6_3/mmc (194)
! Total magnetization in μB/atom: 0.000

=====

No. 3
! Li12CuAg6 PBE optimized geometry; values from VASP
&SYSTEM
  ibrav = 0, nat = 19, ntyp = 3
/
ATOMIC_SPECIES
Ag 107.87 Ag.upf
Li 6.94 Li.upf
Cu 63.55 Cu.upf
ATOMIC_POSITIONS crystal
Ag 0.117 0.732 0.270
Li 0.805 0.528 0.433
Li 0.371 0.028 0.145
Ag 0.732 0.270 0.117
Li 0.972 0.855 0.629
Ag 0.730 0.883 0.268
Ag 0.883 0.268 0.730
Li 0.629 0.972 0.855
Cu 0.000 0.000 0.000
Li 0.145 0.371 0.028
Li 0.567 0.195 0.472
Li 0.472 0.567 0.195
Li 0.195 0.472 0.567
Ag 0.270 0.117 0.732
Li 0.028 0.145 0.371
Li 0.528 0.433 0.805
Ag 0.268 0.730 0.883
Li 0.433 0.805 0.528
Li 0.855 0.629 0.972
CELL_PARAMETERS angstrom
6.873 0.482 0.577
-0.566 6.867 0.577
-0.566 -0.659 6.859
! Energy relative to the elements in eV/atom: -0.1317
! Space group: R-3 (148)
! Total magnetization in μB/atom: 0.000

=====

No. 4
! LiCu2Ag PBE optimized geometry; values from VASP
&SYSTEM
  ibrav = 0, nat = 4, ntyp = 3
/
ATOMIC_SPECIES
Cu 63.55 Cu.upf
Li 6.94 Li.upf
Ag 107.87 Ag.upf
ATOMIC_POSITIONS crystal
Cu 0.002 0.002 0.004
Cu 0.498 0.498 0.496
Li 0.250 0.250 0.250
Ag 0.750 0.750 0.750
CELL_PARAMETERS angstrom
4.749 -0.026 0.013
3.938 2.655 0.013
0.783 0.237 4.357
! Energy relative to the elements in eV/atom: -0.0140
! Space group: C2/m (12)
! Total magnetization in μB/atom: 0.000

=====

No. 5
! LiCu2Ag PBE optimized geometry; values from VASP
&SYSTEM
  ibrav = 0, nat = 4, ntyp = 3
/
ATOMIC_SPECIES
Cu 63.55 Cu.upf
Li 6.94 Li.upf
Ag 107.87 Ag.upf
ATOMIC_POSITIONS crystal
Cu 0.000 0.000 0.489
Li 0.500 0.500 0.250
Ag 0.500 0.500 0.750
Cu 0.000 0.000 0.011
CELL_PARAMETERS angstrom
2.675 -0.097 0.000
-1.021 2.474 0.000
0.000 0.000 8.802
! Energy relative to the elements in eV/atom: 0.1016
! Space group: Cmmm (65)
! Total magnetization in μB/atom: 0.000

=====

No. 6
! Li2Cu2Ag PBE optimized geometry; values from VASP
&SYSTEM
  ibrav = 0, nat = 5, ntyp = 3
/
ATOMIC_SPECIES
Li 6.94 Li.upf
Cu 63.55 Cu.upf
Ag 107.87 Ag.upf
ATOMIC_POSITIONS crystal
Li 0.250 0.750 0.500
Cu 0.401 0.401 0.199
Cu 0.599 0.599 0.801
Li 0.750 0.250 0.500
Ag 0.000 0.000 0.000
CELL_PARAMETERS angstrom
3.627 0.000 0.000
0.000 3.627 0.000
1.814 1.814 5.847
! Energy relative to the elements in eV/atom: 0.2074
! Space group: I4/mmm (139)
! Total magnetization in μB/atom: 0.000